# ThUFeTc (PBE-GGA, optimized geometry)
data_ThUFeTc
_chemical_formula_sum 'Th2 U2 Fe2 Tc2'
_symmetry_space_group_name_H-M 'C 1 m 1'
_symmetry_Int_Tables_number 8
_cell_length_a 7.363
_cell_length_b 4.253
_cell_length_c 5.856
_cell_angle_alpha 90.00
_cell_angle_beta 114.72
_cell_angle_gamma 90.00
loop_
_symmetry_equiv_pos_as_xyz
'x,y,z'
'x,-y,z'
'x+1/2,y+1/2,z'
'x+1/2,-y+1/2,z'
loop_
_atom_site_label
_atom_site_fract_x
_atom_site_fract_y
_atom_site_fract_z
Th1 0.000 0.000 0.000
U1 0.007 0.500 0.521
Fe1 0.199 0.000 0.598
Tc1 0.285 0.500 0.354
# crystal system	monoclinic
# energy relative to the elements	-0.15	eV/atom
# calculated total energy	-9.5380	eV/atom


# Cr2ReAs2 (PBE-GGA, optimized geometry)
data_Cr2ReAs2
_chemical_formula_sum 'Cr4 Re2 As4'
_symmetry_space_group_name_H-M 'P 4/m b m'
_symmetry_Int_Tables_number 127
_symmetry_space_group_name_Hall '-P 4 2ab'
_cell_length_a 6.710
_cell_length_b 6.710
_cell_length_c 3.267
_cell_angle_alpha 90.00
_cell_angle_beta 90.00
_cell_angle_gamma 90.00
loop_
_atom_site_label
_atom_site_fract_x
_atom_site_fract_y
_atom_site_fract_z
Cr1 0.149 0.351 0.000
Re1 0.000 0.000 0.500
As1 0.151 0.651 0.500
# crystal system	tetragonal
# energy relative to the elements	0.22	eV/atom
# calculated total energy	-7.9821	eV/atom


# Ti2RuW (PBE-GGA, optimized geometry)
data_Ti2RuW
_chemical_formula_sum 'Ti2 Ru1 W1'
_symmetry_space_group_name_H-M 'P 4/m m m'
_symmetry_Int_Tables_number 123
_symmetry_space_group_name_Hall '-P 4 2'
_cell_length_a 3.107
_cell_length_b 3.107
_cell_length_c 6.353
_cell_angle_alpha 90.00
_cell_angle_beta 90.00
_cell_angle_gamma 90.00
loop_
_atom_site_label
_atom_site_fract_x
_atom_site_fract_y
_atom_site_fract_z
Ti1 0.000 0.000 0.242
Ru1 0.500 0.500 0.000
W1 0.500 0.500 0.500
# crystal system	tetragonal
# energy relative to the elements	-0.36	eV/atom
# calculated total energy	-9.8668	eV/atom


# Mg2AsPd5 (PBE-GGA, optimized geometry)
data_Mg2AsPd5
_chemical_formula_sum 'Mg4 As2 Pd10'
_symmetry_space_group_name_H-M 'P b a m'
_symmetry_Int_Tables_number 55
_cell_length_a 5.553
_cell_length_b 10.764
_cell_length_c 4.165
_cell_angle_alpha 90.00
_cell_angle_beta 90.00
_cell_angle_gamma 90.00
loop_
_symmetry_equiv_pos_as_xyz
'x,y,z'
'-x,-y,-z'
'-x,-y,z'
'x,y,-z'
'x+1/2,-y+1/2,-z'
'-x+1/2,y+1/2,z'
'-x+1/2,y+1/2,-z'
'x+1/2,-y+1/2,z'
loop_
_atom_site_label
_atom_site_fract_x
_atom_site_fract_y
_atom_site_fract_z
Mg1 0.165 0.144 0.000
As1 0.000 0.500 0.500
Pd1 0.000 0.000 0.500
Pd2 0.078 0.738 0.500
Pd3 0.185 0.397 0.000
# crystal system	orthorhombic
# relative energy among the computed polymorphs	0.00	eV/f.u.
# energy relative to the elements	-0.62	eV/atom
# calculated total energy	-4.8461	eV/atom


# YCdSiN2 (PBE-GGA, optimized geometry)
data_YCdSiN2
_chemical_formula_sum 'Y1 Cd1 Si1 N2'
_symmetry_space_group_name_H-M 'P 4/m m m'
_symmetry_Int_Tables_number 123
_symmetry_space_group_name_Hall '-P 4 2'
_cell_length_a 4.331
_cell_length_b 4.331
_cell_length_c 6.072
_cell_angle_alpha 90.00
_cell_angle_beta 90.00
_cell_angle_gamma 90.00
loop_
_atom_site_label
_atom_site_fract_x
_atom_site_fract_y
_atom_site_fract_z
Y1 0.000 0.000 0.000
Cd1 0.000 0.000 0.500
Si1 0.500 0.500 0.500
N1 0.000 0.500 0.000
# crystal system	tetragonal
# energy relative to the elements, uncorrected	1.231	eV per atom
# calculated total energy	-4.6591	eV/atom


# Ca7SeI12 (PBE-GGA, optimized geometry)
data_Ca7SeI12
_chemical_formula_sum 'Ca21 Se3 I36'
_symmetry_space_group_name_H-M 'R -3'
_symmetry_Int_Tables_number 148
_symmetry_space_group_name_Hall '-R 3'
_cell_length_a 16.1099
_cell_length_b 16.1099
_cell_length_c 11.0586
_cell_angle_alpha 90.00
_cell_angle_beta 90.00
_cell_angle_gamma 120.00
loop_
_atom_site_label
_atom_site_fract_x
_atom_site_fract_y
_atom_site_fract_z
Ca1 0.0000 0.0000 0.0000
Ca2 0.0473 0.8721 0.3398
Se1 0.0000 0.0000 0.5000
I1 0.0263 0.4404 0.1617
I2 0.0487 0.8741 0.8284
# crystal system	trigonal
# energy relative to the elements, uncorrected	-1.627	eV per atom
# calculated total energy	-3.4316	eV/atom